No. 1
The following is a DFT calculation (GGA-PBEsol) of an optimized crystal structure of Li3ScOs.

Structure (POSCAR):
```
Li3ScOs
1.0
4.177 0.000 0.000
0.000 4.177 0.000
0.000 0.000 4.177
Li Sc Os
3 1 1
Cartesian
0.000 2.089 0.000
0.000 0.000 2.089
2.089 0.000 0.000
0.000 0.000 0.000
2.089 2.089 2.089
```

Symmetry = Pm-3m, No. 221

No. 2
The following is a DFT calculation (GGA-PBEsol) of an optimized crystal structure of Li2ScOs.

Structure (POSCAR):
```
Li2ScOs
1.0
-2.221 -3.474 -1.602
-0.512 -3.630 2.475
-3.983 -1.022 1.630
Os Li Sc
1 2 1
Cartesian
-3.358 -4.063 1.251
0.000 0.000 0.000
-5.037 -6.095 1.877
-1.679 -2.032 0.626
```

Symmetry = F-43m, No. 216

No. 3
The following is a DFT calculation (GGA-PBEsol) of an optimized crystal structure of Li2ScTlOs.

Structure (POSCAR):
```
Li2ScTlOs
1.0
-2.989 3.267 -1.045
-0.322 -1.647 -4.229
-3.835 -3.036 1.475
Li Os Sc Tl
2 1 1 1
Cartesian
-1.494 1.634 -0.522
-0.161 -0.823 -2.114
0.000 0.000 0.000
-3.573 -0.708 -1.899
-1.917 -1.518 0.737
```

Symmetry = P4/mmm, No. 123

| no. | total magnetic moment (μB/f.u.) | uncorrected energy (eV per atom) |
| --- | --- | --- |
| 1 | 1.5 | -3.22 |
| 2 | 0.0 | -5.51 |
| 3 | 0.0 | -4.32 |